A plane-wave DFT calculation with PBE was carried out for a relaxed structure of BeB2HPd.

abc: 3.369 3.369 3.395
angles: 90.00 90.00 90.00
Element x y z (fractional)
Be 0.000 0.000 0.000
B 0.000 0.500 0.500
B 0.500 0.000 0.500
H 0.000 0.000 0.500
Pd 0.500 0.500 0.000

Summary:
For the density of states at the Fermi level, the calculation gives 2.292 states/eV per cell. For the calculated volume, the calculation gives 38.5 Å³/cell. The total moment comes out at 0.00 μB per atom. The calculation puts the energy at -4.338 eV per atom.

---

A plane-wave DFT calculation with PBE was carried out for a relaxed structure of Pr4SmAg4.

abc: 9.053 9.053 6.668
angles: 90.00 90.00 90.00
Element x y z (fractional)
Pr 0.036 0.658 0.146
Pr 0.158 0.964 0.646
Pr 0.342 0.536 0.646
Pr 0.464 0.842 0.146
Pr 0.536 0.158 0.854
Pr 0.658 0.464 0.354
Pr 0.842 0.036 0.354
Pr 0.964 0.342 0.854
Sm 0.250 0.250 0.250
Sm 0.750 0.750 0.750
Ag 0.026 0.638 0.608
Ag 0.138 0.974 0.108
Ag 0.362 0.526 0.108
Ag 0.474 0.862 0.608
Ag 0.526 0.138 0.392
Ag 0.638 0.474 0.892
Ag 0.862 0.026 0.892
Ag 0.974 0.362 0.392

Summary:
As for the formation energy: -0.026 eV per atom. For the density of states at the Fermi level, the calculation gives 20.491 states/eV per cell. For the calculated volume, the calculation gives 546.5 Å³/cell. The total moment comes out at 0.00 μB per atom. The calculation puts the energy at -3.942 eV per atom.